# PBE LuCuGe, optimized geometry
data_LuCuGe
_space_group_name_H-M_alt 'P -3 m 1'
_space_group_IT_number 164
_space_group_name_Hall '-P 3 2"'
_cell_length_a 4.3266
_cell_length_b 4.3266
_cell_length_c 7.0467
_cell_angle_alpha 90.00
_cell_angle_beta 90.00
_cell_angle_gamma 120.00
loop_
_atom_site_label
_atom_site_type_symbol
_atom_site_fract_x
_atom_site_fract_y
_atom_site_fract_z
_atom_site_occupancy
Lu1 Lu 0.0000 0.0000 0.2339 1
Cu1 Cu 0.3333 0.6667 0.0162 1
Ge1 Ge 0.3333 0.6667 0.4581 1
# ΔH_f (0 K): -0.331 eV/atom

***

# PBE NiBiMo3, optimized geometry
data_NiBiMo3
_space_group_name_H-M_alt 'P m -3 m'
_space_group_IT_number 221
_space_group_name_Hall '-P 4 2 3'
_cell_length_a 4.989
_cell_length_b 4.989
_cell_length_c 4.989
_cell_angle_alpha 90.00
_cell_angle_beta 90.00
_cell_angle_gamma 90.00
loop_
_atom_site_label
_atom_site_type_symbol
_atom_site_fract_x
_atom_site_fract_y
_atom_site_fract_z
_atom_site_occupancy
Ni1 Ni 0.000 0.000 0.000 1
Bi1 Bi 0.500 0.500 0.500 1
Mo1 Mo 0.000 0.500 0.500 1
# relative energy among the computed polymorphs: 1.600 eV/atom
# ΔH_f (0 K): 2.822 eV/atom